(1)
A plane-wave DFT calculation with GGA-PBE was carried out for a relaxed structure of LiSb2S.

Unit cell a=6.1468 b=6.1468 c=12.3157 alpha=90.00 beta=90.00 gamma=90.00
Space group I-42d (No. 122)
Inequivalent atoms, fractional coordinates:
Li  0.0000  0.0000  0.0000 (multiplicity 4)
Sb  0.2446  0.2500  0.1250 (multiplicity 8)
S  0.0000  0.0000  0.5000 (multiplicity 4)

Calculated values
N(E_F) ... 3.46 states/eV/f.u.
Formation energy from raw total energies ... 183 meV per atom

---

(2)
A plane-wave DFT calculation with GGA-PBE was carried out for a relaxed structure of Li2Sb3S4.

Unit cell a=14.8304 b=11.1977 c=6.4177 alpha=90.00 beta=106.04 gamma=90.00
Space group C2/c (No. 15)
Inequivalent atoms, fractional coordinates:
Li  0.2274  0.1128  0.4198 (multiplicity 8)
Sb  0.0000  0.4559  0.2500 (multiplicity 4)
Sb  0.1260  0.3108  0.8548 (multiplicity 8)
S  0.1164  0.2820  0.4663 (multiplicity 8)
S  0.2223  0.0953  0.0345 (multiplicity 8)

Calculated values
N(E_F) ... 1.89 states/eV/f.u.
Formation energy from raw total energies ... -477 meV per atom

---

(3)
A plane-wave DFT calculation with GGA-PBE was carried out for a relaxed structure of LiSb3S.

Unit cell a=5.2734 b=5.2734 c=5.2734 alpha=90.00 beta=90.00 gamma=90.00
Space group Pm-3m (No. 221)
Inequivalent atoms, fractional coordinates:
Li  0.0000  0.0000  0.0000 (multiplicity 1)
Sb  0.0000  0.5000  0.5000 (multiplicity 3)
S  0.5000  0.5000  0.5000 (multiplicity 1)

Calculated values
N(E_F) ... 4.57 states/eV/f.u.
Formation energy from raw total energies ... 335 meV per atom
ΔE to the lowest computed polymorph ... 0 kJ/mol of formula units

---

(4)
A plane-wave DFT calculation with GGA-PBE was carried out for a relaxed structure of Li3SbS3.

Unit cell a=4.1791 b=12.1865 c=11.8583 alpha=90.00 beta=103.77 gamma=90.00
Space group P2_1/c (No. 14)
Inequivalent atoms, fractional coordinates:
Li  0.0069  0.2230  0.0172 (multiplicity 4)
Li  0.2791  0.0309  0.3922 (multiplicity 4)
Li  0.3499  0.5434  0.3776 (multiplicity 4)
Sb  0.4403  0.7059  0.7578 (multiplicity 4)
S  0.2000  0.0881  0.5935 (multiplicity 4)
S  0.2208  0.1237  0.2048 (multiplicity 4)
S  0.4376  0.1498  0.9280 (multiplicity 4)

Calculated values
N(E_F) ... 0.00 states/eV/f.u.
Formation energy from raw total energies ... -921 meV per atom
ΔE to the lowest computed polymorph ... 25 kJ/mol of formula units

---

(5)
A plane-wave DFT calculation with GGA-PBE was carried out for a relaxed structure of LiSb2S3.

Unit cell a=4.3091 b=16.3635 c=3.7141 alpha=90.00 beta=90.00 gamma=90.00
Space group Imm2 (No. 44)
Inequivalent atoms, fractional coordinates:
Li  0.0000  0.0000  0.0000 (multiplicity 2)
Sb  0.0000  0.3429  0.9866 (multiplicity 4)
S  0.0000  0.1632  0.9494 (multiplicity 4)
S  0.0000  0.5000  0.9229 (multiplicity 2)

Calculated values
N(E_F) ... 1.27 states/eV/f.u.
Formation energy from raw total energies ... -405 meV per atom
ΔE to the lowest computed polymorph ... 0 kJ/mol of formula units

---

(6)
A plane-wave DFT calculation with GGA-PBE was carried out for a relaxed structure of Li6Sb3S.

Unit cell a=8.0456 b=6.1430 c=11.4573 alpha=90.00 beta=129.61 gamma=90.00
Space group P2_1/c (No. 14)
Inequivalent atoms, fractional coordinates:
Li  0.0766  0.0157  0.2318 (multiplicity 4)
Li  0.2910  0.2335  0.0799 (multiplicity 4)
Li  0.2966  0.7336  0.5880 (multiplicity 4)
Sb  0.3343  0.5009  0.3410 (multiplicity 4)
Sb  0.5000  0.0000  0.5000 (multiplicity 2)
S  0.0000  0.0000  0.0000 (multiplicity 2)

Calculated values
N(E_F) ... 0.71 states/eV/f.u.
Formation energy from raw total energies ... -631 meV per atom

---

(7)
A plane-wave DFT calculation with GGA-PBE was carried out for a relaxed structure of Li2SbS3.

Unit cell a=4.6018 b=11.8137 c=5.0281 alpha=90.00 beta=90.00 gamma=90.00
Space group Imm2 (No. 44)
Inequivalent atoms, fractional coordinates:
Li  0.0000  0.1707  0.0000 (multiplicity 4)
Sb  0.0000  0.5000  0.9843 (multiplicity 2)
S  0.0000  0.0000  0.6952 (multiplicity 2)
S  0.0000  0.3373  0.6998 (multiplicity 4)

Calculated values
N(E_F) ... 0.51 states/eV/f.u.
Formation energy from raw total energies ... -766 meV per atom

---

(8)
A plane-wave DFT calculation with GGA-PBE was carried out for a relaxed structure of Li4SbS4.

Unit cell a=6.1037 b=6.1037 c=11.2151 alpha=90.00 beta=90.00 gamma=90.00
Space group I-42m (No. 121)
Inequivalent atoms, fractional coordinates:
Li  0.0000  0.0000  0.2235 (multiplicity 4)
Li  0.0000  0.5000  0.0000 (multiplicity 4)
Sb  0.0000  0.0000  0.5000 (multiplicity 2)
S  0.2326  0.2326  0.6280 (multiplicity 8)

Calculated values
N(E_F) ... 3.37 states/eV/f.u.
Formation energy from raw total energies ... -786 meV per atom
ΔE to the lowest computed polymorph ... 100 kJ/mol of formula units

---

(9)
A plane-wave DFT calculation with GGA-PBE was carried out for a relaxed structure of Li7SbS6.

Unit cell a=6.9876 b=6.9876 c=18.0610 alpha=90.00 beta=90.00 gamma=120.00
Space group R3 (No. 146, hexagonal axes)
Inequivalent atoms, fractional coordinates:
Li  0.0000  0.0000  0.0000 (multiplicity 3)
Li  0.0001  0.7215  0.5616 (multiplicity 9)
Li  0.0048  0.3692  0.4557 (multiplicity 9)
Sb  0.0000  0.0000  0.3423 (multiplicity 3)
S  0.0398  0.6713  0.0907 (multiplicity 9)
S  0.0544  0.3433  0.9276 (multiplicity 9)

Calculated values
Formation energy from raw total energies ... -969 meV per atom